This record from Alexandria describes a relaxed MgMn2Pt crystal. The functional is PBE.

Lattice parameters (Å, degrees): 2.9171 3.7103 5.7420 90.00 90.00 90.00
Last column: nearest neighbours and their distance in Å.
Fractional coordinates of all 4 atoms:
Mg1 0.0000 0.0000 0.0000  4 Pt 2.77, 6 Mn 2.81-2.92, 2 Mg 2.92
Mn1 0.0000 0.0000 0.5092  4 Pt 2.73, 6 Mn 2.74-2.92, 2 Mg 2.82-2.92
Mn2 0.5000 0.5000 0.2666  6 Mn 2.74-2.92, 2 Pt 2.76-2.99, 4 Mg 2.81
Pt1 0.5000 0.5000 0.7466  6 Mn 2.73-2.99, 4 Mg 2.77, 2 Pt 2.92

## Properties
**Crystal system**: orthorhombic
**E_form**: -0.097 eV per atom